PrLuAlNi | PBE-GGA | relaxed

Cell and atoms, written as POSCAR:
```
PrLuAlNi
1.0
0.000 3.555 3.555
3.555 0.000 3.555
3.555 3.555 0.000
Pr Lu Al Ni
1 1 1 1
direct
0.000 0.000 0.000
0.500 0.500 0.500
0.250 0.250 0.250
0.750 0.750 0.750
```

Computed properties:
Density of states at the Fermi level = 3.5 states/eV/cell
Space group = F-43m, No. 216
Raw total energy = -4.958 eV/atom
Formation energy from the elements = -0.252 eV per atom